# 1
SrScRe | Alexandria | PBE | relaxed; theoretical density = 7046 kg/m3; space-group type = No. 107; energy above the lowest structure with this stoichiometry = 0.00 eV per formula unit; size of the total moment = 0.0 μB per formula unit
1.0
-1.756 1.756 6.094
1.756 -1.756 6.094
1.756 1.756 -6.094
Sr Sc Re
1 1 1
Cartesian
0.000 0.000 0.000 Sr
0.000 0.000 8.909 Sc
0.000 0.000 3.932 Re


# 2
SrScRe2 | Alexandria | PBE | relaxed; theoretical density = 9470 kg/m3; space-group type = No. 44; energy above the lowest structure with this stoichiometry = 1.06 eV per formula unit; size of the total moment = 0.0 μB per formula unit
1.0
-1.706 2.529 5.132
1.706 -2.529 5.132
1.706 2.529 -5.132
Sr Sc Re
1 1 2
Cartesian
0.000 0.000 0.000 Sr
0.000 2.529 2.235 Sc
1.706 0.000 2.796 Re
0.000 0.000 4.504 Re


# 3
SrScRe2W | Alexandria | PBE | relaxed; theoretical density = 11282 kg/m3; raw total energy = -6.059 eV per atom; space-group type = No. 123; size of the total moment = 0.0 μB per formula unit
1.0
4.717 0.000 0.000
0.000 4.717 0.000
0.000 0.000 4.556
Sr Sc Re W
1 1 2 1
Cartesian
0.000 0.000 0.000 Sr
0.000 0.000 2.278 Sc
0.000 2.359 0.000 Re
2.359 0.000 0.000 Re
2.359 2.359 2.278 W


# 4
ScTaRe2 | Alexandria | PBE | relaxed; theoretical density = 14441 kg/m3; raw total energy = -10.632 eV per atom; space-group type = No. 166; size of the total moment = 0.0 μB per formula unit
1.0
1.516 0.875 8.638
-1.516 0.875 8.638
0.000 -1.751 8.638
Sc Ta Re
1 1 2
Cartesian
0.000 0.000 0.000 Sc
0.000 0.000 12.956 Ta
0.000 0.000 6.380 Re
0.000 0.000 19.533 Re


# 5
ScTaRe | Alexandria | PBE | relaxed; theoretical density = 12229 kg/m3; space-group type = No. 156; energy above the lowest structure with this stoichiometry = 0.89 eV per formula unit; size of the total moment = 0.3 μB per formula unit
1.0
3.102 0.000 0.000
-1.551 2.686 0.000
0.000 0.000 6.716
Sc Ta Re
1 1 1
Cartesian
0.000 0.000 0.000 Sc
1.551 0.895 2.600 Ta
0.000 1.791 4.526 Re


# 6
ScTaRe | Alexandria | PBE | relaxed; theoretical density = 12483 kg/m3; space-group type = No. 107; energy above the lowest structure with this stoichiometry = 0.00 eV per formula unit; size of the total moment = 0.0 μB per formula unit
1.0
-1.632 1.632 5.146
1.632 -1.632 5.146
1.632 1.632 -5.146
Sc Ta Re
1 1 1
Cartesian
0.000 0.000 0.000 Sc
0.000 0.000 3.108 Ta
0.000 0.000 6.902 Re